Below is a geometry-optimized BaY2Hg structure, with properties calculated at the PBE-GGA level.

Lattice parameters (Å, degrees): 6.9894 12.3146 3.6368 90.00 119.88 90.00
Last column: nearest neighbours and their distance in Å.
Space group C2/m (No. 12)
Unique sites:
Ba1 0.0000 0.0000 0.0000 x2  4 Hg 3.49-3.57, 4 Y 3.56, 2 Ba 3.64
Y1 0.2500 0.2500 0.5000 x4  6 Y 3.49-3.64, 2 Hg 3.56, 2 Ba 3.56
Hg1 0.0000 0.5000 0.0000 x2  4 Ba 3.49-3.57, 4 Y 3.56, 2 Hg 3.64

## Properties
D(E_F), states/eV/cell: 12.38
Calculated formation energy, meV/atom: 73
Crystal system: monoclinic
M_tot, μB/f.u.: 0.00